No. 1
First-principles (PBE) data for a geometry-optimized La2PtF2 structure, as listed in Alexandria via LeMat-Bulk.

abc: 7.598 7.598 3.171
angles: 90.00 90.00 90.00
Space group P4/mbm (No. 127)
Symmetry-distinct sites (fractional):
La: 0.189 0.311 0.000 (multiplicity 4)
Pt: 0.000 0.000 0.500 (multiplicity 2)
F: 0.112 0.612 0.500 (multiplicity 4)

Results
The relative energy among the computed polymorphs is 15 meV/atom. The energy comes out at -61.41 eV/cell. As for the formation energy from raw total energies: -2.2137 eV per atom. The value obtained for the density is 9.27 Mg/m³.

---

No. 2
First-principles (PBE) data for a geometry-optimized LaPt2F structure, as listed in Alexandria via LeMat-Bulk.

abc: 6.779 6.779 6.779
angles: 90.00 90.00 90.00
Space group Fm-3m (No. 225)
Symmetry-distinct sites (fractional):
La: 0.000 0.000 0.000 (multiplicity 4)
Pt: 0.250 0.250 0.250 (multiplicity 8)
F: 0.000 0.000 0.500 (multiplicity 4)

Results
The relative energy among the computed polymorphs is 851 meV/atom. The energy comes out at -86.35 eV/cell. As for the formation energy from raw total energies: -0.6769 eV per atom. The value obtained for the density is 11.69 Mg/m³.

---

No. 3
First-principles (PBE) data for a geometry-optimized LaPtF structure, as listed in Alexandria via LeMat-Bulk.

abc: 5.337 6.657 11.310
angles: 85.32 86.10 85.66
Space group P-1 (No. 2)
Symmetry-distinct sites (fractional):
La: 0.000 0.000 0.000 (multiplicity 1)
La: 0.012 0.274 0.642 (multiplicity 2)
La: 0.396 0.222 0.295 (multiplicity 2)
La: 0.500 0.500 0.000 (multiplicity 1)
Pt: 0.024 0.401 0.894 (multiplicity 2)
Pt: 0.474 0.855 0.429 (multiplicity 2)
Pt: 0.490 0.378 0.757 (multiplicity 2)
F: 0.045 0.055 0.219 (multiplicity 2)
F: 0.045 0.361 0.415 (multiplicity 2)
F: 0.433 0.852 0.911 (multiplicity 2)

Results
The energy comes out at -118.02 eV/cell. As for the formation energy from raw total energies: -2.2771 eV per atom. The value obtained for the density is 8.82 Mg/m³.

---

No. 4
First-principles (PBE) data for a geometry-optimized La2PtF structure, as listed in Alexandria via LeMat-Bulk.

abc: 4.4022 4.4022 23.2029
angles: 90.00 90.00 120.00
Space group R-3m (No. 166, hexagonal axes)
Symmetry-distinct sites (fractional):
La: 0.0000 0.0000 0.1011 (multiplicity 6)
Pt: 0.0000 0.0000 0.5000 (multiplicity 3)
F: 0.0000 0.0000 0.0000 (multiplicity 3)

Results
The relative energy among the computed polymorphs is 0 meV/atom. The energy comes out at -76.45 eV/cell. As for the formation energy from raw total energies: -1.9287 eV per atom. The value obtained for the density is 6.29 Mg/m³.

---

- Number 4 is which compound?
  La2PtF